Material: Tc2Ge
Method: DFT, PBE
State: relaxed

## Properties
raw total energy: -8.53 eV per atom
V: 88.1 Å³ per cell
relative energy among the computed polymorphs: 41 meV per atom
ρ: 10.13 Mg/m³

Cell lengths 4.575, 4.575, 4.610 Å; angles 90.00, 90.00, 65.87 degrees
Element x y z (fractional)
Tc  0.011  0.662  0.750
Tc  0.338  0.989  0.750
Tc  0.662  0.011  0.250
Tc  0.989  0.338  0.250
Ge  0.320  0.680  0.250
Ge  0.680  0.320  0.750